Entry from the Alexandria database: a relaxed La3Si2Pt9Au crystal (PBE).

Geometry as extended XYZ:
```
15
Lattice="5.745 0.000 0.000 -2.873 4.976 0.000 0.000 0.000 11.192" Properties=species:S:1:pos:R:3 pbc="T T T"
La 0.000 0.000 0.000
La 0.000 3.317 6.737
La 2.873 1.659 4.455
Si 0.000 3.317 1.777
Si 2.873 1.659 9.415
Pt -1.436 2.488 0.000
Pt 0.000 1.607 3.377
Pt -1.481 4.172 3.377
Pt 1.392 0.804 7.815
Pt 2.873 0.000 0.000
Pt 1.436 2.488 0.000
Pt 1.481 4.172 3.377
Pt 4.353 0.804 7.815
Pt 2.873 3.368 7.815
Au 0.000 0.000 5.596
```

Computed properties:
- size of the total moment (μB/atom) = 0.00
- calculated total energy (eV/atom) = -6.3729

***

Entry from the Alexandria database: a relaxed GaCoNi crystal (PBE).

Geometry as extended XYZ:
```
3
Lattice="-1.415 1.415 4.434 1.415 -1.415 4.434 1.415 1.415 -4.434" Properties=species:S:1:pos:R:3 pbc="T T T"
Ga 0.000 0.000 0.000
Co 0.000 0.000 2.962
Ni 0.000 0.000 5.902
```

Computed properties:
- size of the total moment (μB/atom) = 0.40
- calculated total energy (eV/atom) = -5.4272
- formation energy (kJ per mole of atoms) = -11.8

***

Entry from the Alexandria database: a relaxed Tb4HoPb5 crystal (PBE).

Geometry as extended XYZ:
```
10
Lattice="-4.986 4.986 3.153 4.986 -4.986 3.153 4.986 4.986 -3.153" Properties=species:S:1:pos:R:3 pbc="T T T"
Tb 6.977 0.989 0.000
Tb 0.989 2.996 0.000
Tb 3.997 1.990 3.153
Tb -1.990 3.997 3.153
Ho 0.000 0.000 3.144
Pb 3.987 2.008 0.000
Pb 2.978 -0.999 3.153
Pb 2.008 5.985 0.000
Pb 0.999 2.978 3.153
Pb 0.000 0.000 6.295
```

Computed properties:
- size of the total moment (μB/atom) = 0.00
- calculated total energy (eV/atom) = -4.5051
- formation energy (kJ per mole of atoms) = -32.9

***

Entry from the Alexandria database: a relaxed La2Eu4N crystal (PBE).

Geometry as extended XYZ:
```
7
Lattice="-2.484 2.484 10.073 2.484 -2.484 10.073 2.484 2.484 -10.073" Properties=species:S:1:pos:R:3 pbc="T T T"
La 0.000 0.000 4.021
La 0.000 0.000 16.125
Eu 2.484 0.000 0.000
Eu 0.000 0.000 7.550
Eu 0.000 2.484 0.000
Eu 0.000 0.000 12.595
N 0.000 0.000 10.073
```

Computed properties:
- size of the total moment (μB/atom) = 0.37
- calculated total energy (eV/atom) = -8.5288